# BaTcP3 | Alexandria | PBE-GGA | optimized geometry
data_BaTcP3
_space_group_name_H-M_alt 'P m -3 m'
_space_group_IT_number 221
_space_group_name_Hall '-P 4 2 3'
_cell_length_a 4.780
_cell_length_b 4.780
_cell_length_c 4.780
_cell_angle_alpha 90.00
_cell_angle_beta 90.00
_cell_angle_gamma 90.00
loop_
_atom_site_label
_atom_site_fract_x
_atom_site_fract_y
_atom_site_fract_z
Ba1 0.000 0.000 0.000
Tc1 0.500 0.500 0.500
P1 0.000 0.500 0.500
# E_tot in eV per cell: -29.5
# Excess energy over the best structure of this formula in the dataset in meV/atom: 0
# ρ in g cm⁻³: 4.99
# Crystal system: cubic
# Total magnetization in μB per atom: 0.000
# DOS at the Fermi energy in states/eV per cell: 4.65

# GdHoNiHg | Alexandria | PBE-GGA | optimized geometry
data_GdHoNiHg
_space_group_name_H-M_alt 'F -4 3 m'
_space_group_IT_number 216
_space_group_name_Hall 'F -4 2 3'
_cell_length_a 7.162
_cell_length_b 7.162
_cell_length_c 7.162
_cell_angle_alpha 90.00
_cell_angle_beta 90.00
_cell_angle_gamma 90.00
loop_
_atom_site_label
_atom_site_fract_x
_atom_site_fract_y
_atom_site_fract_z
Gd1 0.000 0.000 0.000
Ho1 0.000 0.000 0.500
Ni1 0.250 0.250 0.250
Hg1 0.250 0.250 0.750
# E_tot in eV per cell: -104.6
# ρ in g cm⁻³: 10.51
# Crystal system: cubic
# Total magnetization in μB per atom: 1.776
# DOS at the Fermi energy in states/eV per cell: 10.60

# Hf3TiH7 | Alexandria | PBE-GGA | optimized geometry
data_Hf3TiH7
_space_group_name_H-M_alt 'C m c m'
_space_group_IT_number 63
_space_group_name_Hall '-C 2c 2'
_cell_length_a 8.226
_cell_length_b 6.877
_cell_length_c 6.940
_cell_angle_alpha 90.00
_cell_angle_beta 90.00
_cell_angle_gamma 90.00
loop_
_atom_site_label
_atom_site_fract_x
_atom_site_fract_y
_atom_site_fract_z
Hf1 0.000 0.000 0.000
Hf2 0.241 0.255 0.250
Ti1 0.000 0.500 0.000
H1 0.000 0.390 0.250
H2 0.123 0.258 0.508
H3 0.126 0.001 0.750
# E_tot in eV per cell: -264.2
# ρ in g cm⁻³: 9.99
# Crystal system: orthorhombic
# Total magnetization in μB per atom: 0.000
# DOS at the Fermi energy in states/eV per cell: 15.78

# Hf6MnTl2 | Alexandria | PBE-GGA | optimized geometry
data_Hf6MnTl2
_space_group_name_H-M_alt 'I m m m'
_space_group_IT_number 71
_space_group_name_Hall '-I 2 2'
_cell_length_a 4.970
_cell_length_b 6.321
_cell_length_c 13.793
_cell_angle_alpha 90.00
_cell_angle_beta 90.00
_cell_angle_gamma 90.00
loop_
_atom_site_label
_atom_site_fract_x
_atom_site_fract_y
_atom_site_fract_z
Hf1 0.000 0.238 0.000
Hf2 0.000 0.250 0.365
Mn1 0.000 0.500 0.500
Tl1 0.000 0.500 0.184
# E_tot in eV per cell: -141.0
# ρ in g cm⁻³: 11.76
# Crystal system: orthorhombic
# Total magnetization in μB per atom: 0.000
# DOS at the Fermi energy in states/eV per cell: 18.69

# Tb12Ir3N5 | Alexandria | PBE-GGA | optimized geometry
data_Tb12Ir3N5
_space_group_name_H-M_alt 'I a -3 d'
_space_group_IT_number 230
_space_group_name_Hall '-I 4bd 2c 3'
_cell_length_a 15.256
_cell_length_b 15.256
_cell_length_c 15.256
_cell_angle_alpha 90.00
_cell_angle_beta 90.00
_cell_angle_gamma 90.00
loop_
_atom_site_label
_atom_site_fract_x
_atom_site_fract_y
_atom_site_fract_z
Tb1 0.030 0.054 0.651
Ir1 0.000 0.250 0.125
N1 0.000 0.000 0.000
N2 0.000 0.250 0.375
# E_tot in eV per cell: -1147.3
# ρ in g cm⁻³: 9.55
# Crystal system: cubic
# Total magnetization in μB per atom: 0.000
# DOS at the Fermi energy in states/eV per cell: 111.27

# LaSnOs | Alexandria | PBE-GGA | optimized geometry
data_LaSnOs
_space_group_name_H-M_alt 'C 1 m 1'
_space_group_IT_number 8
_cell_length_a 11.205
_cell_length_b 4.315
_cell_length_c 6.261
_cell_angle_alpha 90.00
_cell_angle_beta 93.52
_cell_angle_gamma 90.00
loop_
_space_group_symop_operation_xyz
'x,y,z'
'x,-y,z'
'x+1/2,y+1/2,z'
'x+1/2,-y+1/2,z'
loop_
_atom_site_label
_atom_site_fract_x
_atom_site_fract_y
_atom_site_fract_z
La1 0.000 0.000 0.000
La2 0.104 0.500 0.510
Sn1 0.284 0.000 0.783
Sn2 0.392 0.500 0.473
Os1 0.225 0.500 0.083
Os2 0.279 0.000 0.245
# E_tot in eV per cell: -83.6
# ρ in g cm⁻³: 9.85
# Crystal system: monoclinic
# Total magnetization in μB per atom: 0.000
# DOS at the Fermi energy in states/eV per cell: 9.14

# Ba4SbAs2 | Alexandria | PBE-GGA | optimized geometry
data_Ba4SbAs2
_space_group_name_H-M_alt 'C 1 c 1'
_space_group_IT_number 9
_cell_length_a 10.159
_cell_length_b 14.534
_cell_length_c 8.863
_cell_angle_alpha 90.00
_cell_angle_beta 124.94
_cell_angle_gamma 90.00
loop_
_space_group_symop_operation_xyz
'x,y,z'
'x,-y,z+1/2'
'x+1/2,y+1/2,z'
'x+1/2,-y+1/2,z+1/2'
loop_
_atom_site_label
_atom_site_fract_x
_atom_site_fract_y
_atom_site_fract_z
Ba1 0.000 0.001 0.000
Ba2 0.052 0.428 0.852
Ba3 0.106 0.248 0.211
Ba4 0.306 0.178 0.859
Sb1 0.241 0.375 0.605
As1 0.304 0.063 0.481
As2 0.428 0.313 0.230
# E_tot in eV per cell: -113.3
# ρ in g cm⁻³: 5.08
# Crystal system: monoclinic
# Total magnetization in μB per atom: 0.000
# DOS at the Fermi energy in states/eV per cell: 36.59

# CsPb3Au | Alexandria | PBE-GGA | optimized geometry
data_CsPb3Au
_space_group_name_H-M_alt 'F m m 2'
_space_group_IT_number 42
_space_group_name_Hall 'F 2 -2'
_cell_length_a 7.417
_cell_length_b 7.425
_cell_length_c 12.527
_cell_angle_alpha 90.00
_cell_angle_beta 90.00
_cell_angle_gamma 90.00
loop_
_atom_site_label
_atom_site_fract_x
_atom_site_fract_y
_atom_site_fract_z
Cs1 0.000 0.000 0.000
Pb1 0.000 0.000 0.394
Pb2 0.250 0.250 0.241
Au1 0.000 0.000 0.628
# E_tot in eV per cell: -64.5
# Excess energy over the best structure of this formula in the dataset in meV/atom: 0
# ρ in g cm⁻³: 9.16
# Crystal system: orthorhombic
# Total magnetization in μB per atom: 0.000
# DOS at the Fermi energy in states/eV per cell: 8.31